# MoW4O12, optimized geometry, DFT GGA+U
data_MoW4O12
_chemical_formula_sum 'Mo2 W8 O24'
_cell_length_a 7.8160
_cell_length_b 7.8160
_cell_length_c 7.3820
_cell_angle_alpha 90.00
_cell_angle_beta 90.00
_cell_angle_gamma 90.00
_symmetry_space_group_name_H-M 'I 4/m m m'
_symmetry_Int_Tables_number 139
_symmetry_space_group_name_Hall '-I 4 2'
loop_
_atom_site_label
_atom_site_type_symbol
_atom_site_fract_x
_atom_site_fract_y
_atom_site_fract_z
Mo1 Mo 0.0000 0.0000 0.0000
W1 W 0.2500 0.2500 0.2500
O1 O 0.0000 0.2291 0.1764
O2 O 0.1963 0.1963 0.5000
# Spin magnetization (μB per formula unit): 6.0
# Raw total energy (hartree per atom): -0.276

=====

# LiTm2FeO5, optimized geometry, DFT GGA+U
data_LiTm2FeO5
_chemical_formula_sum 'Li4 Tm8 Fe4 O20'
_cell_length_a 3.2470
_cell_length_b 13.4643
_cell_length_c 8.8478
_cell_angle_alpha 90.00
_cell_angle_beta 90.00
_cell_angle_gamma 90.00
_symmetry_space_group_name_H-M 'C m c 21'
_symmetry_Int_Tables_number 36
_symmetry_space_group_name_Hall 'C 2c -2'
loop_
_atom_site_label
_atom_site_type_symbol
_atom_site_fract_x
_atom_site_fract_y
_atom_site_fract_z
Li1 Li 0.0000 0.2252 0.0000
Tm1 Tm 0.0000 0.1180 0.3040
Tm2 Tm 0.0000 0.1245 0.6802
Fe1 Fe 0.0000 0.4157 0.4844
O1 O 0.0000 0.0297 0.0683
O2 O 0.0000 0.3024 0.3408
O3 O 0.0000 0.3163 0.6498
O4 O 0.0000 0.3591 0.0018
O5 O 0.0000 0.4879 0.2982
# Spin magnetization (μB per formula unit): 3.0
# Raw total energy (hartree per atom): -0.264